Below is a relaxed structure of KAg2Pd2, with properties calculated at the PBE-GGA level.

Lattice parameters (Å, degrees): 8.2909 8.2909 2.9089 90.00 90.00 90.00
With the nearest neighbours (Å) after each atom.
Space group P4/mbm (No. 127)
One atom of each set of equivalent atoms:
K 0.0000 0.0000 0.0000 [2 per cell]  2 K 2.91
Ag 0.1716 0.3284 0.5000 [4 per cell]  6 Pd 2.84-2.86, 2 Ag 2.91
Pd 0.1207 0.6207 0.0000 [4 per cell]  3 Pd 2.83-2.91, 6 Ag 2.84-2.86

Crystal system: tetragonal



Below is a relaxed structure of K2Ag9Pd6, with properties calculated at the PBE-GGA level.

Lattice parameters (Å, degrees): 5.6293 5.6293 13.6134 90.00 90.00 120.00
With the nearest neighbours (Å) after each atom.
Space group P6/mmm (No. 191)
One atom of each set of equivalent atoms:
K 0.0000 0.0000 0.1733 [2 per cell]  6 Pd 3.25, 6 Ag 3.57
Ag 0.0000 0.5000 0.0000 [3 per cell]  4 Pd 2.80, 4 Ag 2.81
Ag 0.0000 0.5000 0.3352 [6 per cell]  4 Pd 2.77-2.81, 4 Ag 2.81
Pd 0.3333 0.6667 0.1672 [4 per cell]  6 Ag 2.80-2.81
Pd 0.3333 0.6667 0.5000 [2 per cell]  6 Ag 2.77

Crystal system: hexagonal



Formation energy from the elements / eV per atom: 0.00 0.12
E_tot / eV per cell: -34.3 -56.9
DOS(E_F) / states/eV/f.u.: 1.6 5.4